Entry 1:
# SrLiTlCu

An optimized crystal structure of SrLiTlCu (PBE-GGA, the Alexandria database).

Unit cell a=7.159 b=7.159 c=7.159 alpha=90.00 beta=90.00 gamma=90.00
Fractional positions:
Sr  0.000  0.000  0.000
Sr  0.000  0.500  0.500
Sr  0.500  0.000  0.500
Sr  0.500  0.500  0.000
Li  0.250  0.250  0.750
Li  0.250  0.750  0.250
Li  0.750  0.250  0.250
Li  0.750  0.750  0.750
Tl  0.000  0.000  0.500
Tl  0.000  0.500  0.000
Tl  0.500  0.000  0.000
Tl  0.500  0.500  0.500
Cu  0.250  0.250  0.250
Cu  0.250  0.750  0.750
Cu  0.750  0.250  0.750
Cu  0.750  0.750  0.250

- space-group type = F-43m (216)

Entry 2:
# Sr2LiTlCu

An optimized crystal structure of Sr2LiTlCu (PBE-GGA, the Alexandria database).

Unit cell a=5.961 b=5.961 c=4.637 alpha=90.00 beta=90.00 gamma=90.00
Fractional positions:
Sr  0.000  0.500  0.000
Sr  0.500  0.000  0.000
Li  0.000  0.000  0.500
Tl  0.500  0.500  0.500
Cu  0.000  0.000  0.000

- space-group type = P4/mmm (123)

Entry 3:
# SrLi2CuW

An optimized crystal structure of SrLi2CuW (PBE-GGA, the Alexandria database).

Unit cell a=4.801 b=4.801 c=4.815 alpha=90.00 beta=90.00 gamma=90.00
Fractional positions:
Sr  0.000  0.000  0.000
Li  0.000  0.500  0.500
Li  0.500  0.000  0.500
Cu  0.500  0.500  0.500
W  0.500  0.500  0.000

- space-group type = P4/mmm (123)

E list, top to bottom, in eV/atom: -2.60; -2.39; -3.76